## ZnHg2Sb2 (GGA-PBE)

Data for a geometry-optimized ZnHg2Sb2 structure.

* raw total energy: -1.85 eV per atom
* DOS at the Fermi energy: 3.78 states/eV/cell
* ΔE_f (raw): 0.90 eV per formula unit

abc: 7.255 7.255 5.157
angles: 90.00 90.00 90.00
Sites, in units of the cell vectors:
Sb 0.645 0.145 0.000
Hg 0.322 0.178 0.500
Sb 0.355 0.855 0.000
Sb 0.855 0.645 0.000
Hg 0.178 0.678 0.500
Zn 0.500 0.500 0.000
Hg 0.822 0.322 0.500
Zn 0.000 0.000 0.000
Hg 0.678 0.822 0.500
Sb 0.145 0.355 0.000